VASP calculation (PBE) on a relaxed KHfTcRu2 crystal.

Values from the calculation:
Energy relative to the elements: 2395 meV/atom
DOS at the Fermi energy: 1.13 states/eV/atom
DFT total energy: -5.5992 eV per atom
Density: 9.3 g/cm³

a = 4.523 Å, b = 4.523 Å, c = 4.540 Å
α = 90.00°, β = 90.00°, γ = 90.00°
Sites, in units of the cell vectors:
K: 0.000 0.000 0.000
Hf: 0.500 0.500 0.500
Tc: 0.000 0.000 0.500
Ru: 0.000 0.500 0.000
Ru: 0.500 0.000 0.000